GGA+U MnBe2BO4, optimized geometry; density of states at the Fermi level = 1.4 states/eV/f.u.; E = -56.05 eV/cell
1.0
-2.160 2.160 3.419
2.160 -2.160 3.419
2.160 2.160 -3.419
Mn Be B O
1 2 1 4
Direct
0.000 0.000 0.000 Mn
0.250 0.750 0.500 Be
0.750 0.250 0.500 Be
0.500 0.500 0.000 B
0.172 0.553 0.000 O
0.447 0.447 0.619 O
0.553 0.172 0.000 O
0.828 0.828 0.381 O